Material: GaTc2C
Method: DFT, PBE-GGA
State: relaxed

## Properties
Spin magnetization ... 0.00 μB/f.u.
Distance to the lowest polymorph of the same formula ... 0.00 kcal/mol of atoms
Energy of formation ... 0.212 eV/atom
ρ ... 7.92 g/cm³
Energy ... -8.034 eV per atom
Symmetry ... R-3m, No. 166

Geometry as POSCAR:
```
GaTc2C
1.0
1.5322 0.8846 7.1611
-1.5322 0.8846 7.1611
0.0000 -1.7692 7.1611
Ga Tc C
1 2 1
direct
0.0000 0.0000 0.0000 Ga
0.1160 0.1160 0.1160 Tc
0.8840 0.8840 0.8840 Tc
0.5000 0.5000 0.5000 C
```

=====

Material: GaTcC3
Method: DFT, PBE-GGA
State: relaxed

## Properties
Spin magnetization ... 0.00 μB/f.u.
Distance to the lowest polymorph of the same formula ... 24.13 kcal/mol of atoms
Energy of formation ... 2.855 eV/atom
ρ ... 5.86 g/cm³
Energy ... -5.358 eV per atom
Symmetry ... Pm-3m, No. 221

Geometry as POSCAR:
```
GaTcC3
1.0
3.8649 0.0000 0.0000
0.0000 3.8649 0.0000
0.0000 0.0000 3.8649
Ga Tc C
1 1 3
direct
0.0000 0.0000 0.0000 Ga
0.5000 0.5000 0.5000 Tc
0.0000 0.0000 0.5000 C
0.0000 0.5000 0.0000 C
0.5000 0.0000 0.0000 C
```

=====

Material: GaTc4C
Method: DFT, PBE-GGA
State: relaxed

## Properties
Spin magnetization ... 0.00 μB/f.u.
Energy of formation ... 0.579 eV/atom
ρ ... 8.63 g/cm³
Energy ... -8.374 eV per atom
Symmetry ... Cmmm, No. 65

Geometry as POSCAR:
```
GaTc4C
1.0
3.8471 -4.0996 0.0000
3.8471 4.0996 0.0000
0.0000 0.0000 2.8898
Ga Tc C
1 4 1
direct
0.0000 0.0000 0.0000 Ga
0.2584 0.7416 0.5000 Tc
0.3154 0.3154 0.0000 Tc
0.6846 0.6846 0.0000 Tc
0.7416 0.2584 0.5000 Tc
0.5000 0.5000 0.5000 C
```

=====

Material: Th2Ga2Tc2C
Method: DFT, PBE-GGA
State: relaxed

## Properties
Spin magnetization ... 0.00 μB/f.u.
Energy of formation ... -0.430 eV/atom
ρ ... 10.02 g/cm³
Energy ... -7.694 eV per atom
Symmetry ... C2/m, No. 12

Geometry as POSCAR:
```
Th2Ga2Tc2C
1.0
5.6431 -2.0052 0.0000
5.6431 2.0052 0.0000
-4.3480 0.0000 5.9454
Th Ga Tc C
2 2 2 1
direct
0.0680 0.0680 0.2908 Th
0.9320 0.9320 0.7092 Th
0.3581 0.3581 0.3234 Ga
0.6419 0.6419 0.6766 Ga
0.3015 0.3015 0.9254 Tc
0.6985 0.6985 0.0746 Tc
0.5000 0.5000 0.0000 C
```